No. 1
{"formula": "InFe2Cl", "functional": "PBE-GGA", "state": "relaxed", "lattice": [[1.581, 0.913, 8.375], [-1.581, 0.913, 8.375], [0.000, -1.825, 8.375]], "species": ["In", "Fe", "Fe", "Cl"], "fractional_positions": [[0.000, 0.000, 0.000], [0.250, 0.250, 0.250], [0.518, 0.518, 0.518], [0.786, 0.786, 0.786]]}

***

No. 2
{"formula": "In3FeCl", "functional": "PBE-GGA", "state": "relaxed", "lattice": [[5.544, 0.000, 0.000], [0.000, 5.544, 0.000], [0.000, 0.000, 5.544]], "species": ["In", "In", "In", "Fe", "Cl"], "fractional_positions": [[0.000, 0.000, 0.500], [0.000, 0.500, 0.000], [0.500, 0.000, 0.000], [0.500, 0.500, 0.500], [0.000, 0.000, 0.000]]}

***

No. 3
{"formula": "In3FeCl", "functional": "PBE-GGA", "state": "relaxed", "lattice": [[5.074, 0.000, 0.000], [0.000, 5.074, 0.000], [0.000, 0.000, 5.074]], "species": ["In", "In", "In", "Fe", "Cl"], "fractional_positions": [[0.000, 0.000, 0.500], [0.000, 0.500, 0.000], [0.500, 0.000, 0.000], [0.000, 0.000, 0.000], [0.500, 0.500, 0.500]]}

***

No. 4
{"formula": "InFeCl2", "functional": "PBE-GGA", "state": "relaxed", "lattice": [[1.645, -3.285, 0.000], [1.645, 3.285, 0.000], [0.000, 0.000, 9.365]], "species": ["In", "Fe", "Cl", "Cl"], "fractional_positions": [[0.000, 0.000, 0.000], [0.000, 0.000, 0.500], [0.500, 0.500, 0.318], [0.500, 0.500, 0.682]]}

***

No. 5
{"formula": "InFeCl2", "functional": "PBE-GGA", "state": "relaxed", "lattice": [[3.672, -4.150, 0.000], [3.672, 4.150, 0.000], [-1.424, 0.000, 3.091]], "species": ["In", "Fe", "Cl", "Cl"], "fractional_positions": [[0.000, 0.000, 0.000], [0.500, 0.500, 0.000], [0.000, 0.500, 0.500], [0.500, 0.000, 0.500]]}

***

No. 6
{"formula": "InFe2Cl", "functional": "PBE-GGA", "state": "relaxed", "lattice": [[-3.450, 3.450, 2.970], [3.450, -3.450, 2.970], [3.450, 3.450, -2.970]], "species": ["In", "In", "Fe", "Fe", "Fe", "Fe", "Cl", "Cl"], "fractional_positions": [[0.000, 0.000, 0.000], [0.750, 0.250, 0.500], [0.176, 0.625, 0.051], [0.375, 0.426, 0.551], [0.574, 0.125, 0.949], [0.875, 0.824, 0.449], [0.250, 0.750, 0.500], [0.500, 0.500, 0.000]]}

***

No. 7
{"formula": "InFeCl2", "functional": "PBE-GGA", "state": "relaxed", "lattice": [[5.620, -1.686, 0.000], [5.620, 1.686, 0.000], [-2.949, 0.000, 5.114]], "species": ["In", "Fe", "Cl", "Cl"], "fractional_positions": [[0.000, 0.000, 0.000], [0.286, 0.286, 0.036], [0.670, 0.670, 0.713], [0.842, 0.842, 0.363]]}

***

No. 8
{"formula": "InFeCl4", "functional": "PBE-GGA", "state": "relaxed", "lattice": [[0.000, 4.232, 4.232], [4.232, 0.000, 4.232], [4.232, 4.232, 0.000]], "species": ["In", "Fe", "Cl", "Cl", "Cl", "Cl"], "fractional_positions": [[0.000, 0.000, 0.000], [0.250, 0.250, 0.250], [0.128, 0.624, 0.624], [0.624, 0.128, 0.624], [0.624, 0.624, 0.128], [0.624, 0.624, 0.624]]}

***

Sequential DFT total energy output: -21.2 -14.8 -18.8 -16.3 -14.7 -38.8 -16.4 -15.0 eV/cell